La2CeAg2Sn2: relaxed, PBE-GGA.

POSCAR file:
```
La2CeAg2Sn2
1.0
-5.237 -0.204 -0.621
-2.270 -4.395 -1.841
-3.286 -4.274 6.691
La Ce Ag Sn
2 1 2 2
direct
0.570 0.570 0.289
0.430 0.430 0.711
0.000 0.000 0.000
0.295 0.295 0.116
0.705 0.705 0.884
0.842 0.842 0.473
0.158 0.158 0.527
```

**N(E_F)**: 12.857 states/eV per cell
**Energy of formation from the pure elements**: -0.303 eV/atom
**Uncorrected energy**: -31.62 eV for the cell shown